An optimized crystal structure of Na4Ge3As5. Source: the Alexandria database, functional PBE-GGA.

Calculated values
formation energy: 0.02 eV/atom

Lattice parameters (Å, degrees): 5.3332 8.7160 7.4482 88.04 69.02 72.19
Last column: nearest neighbours and their distance in Å.
Fractional positions:
1 Na 0.7446 0.1258 0.3849  1 Ge 2.92, 3 As 3.07-3.14
2 Na 0.9005 0.2493 0.9496  2 Ge 3.00, 3 As 3.01-3.31, 1 Na 3.28
3 Na 0.0995 0.7507 0.0504  2 Ge 3.00, 3 As 3.01-3.31, 1 Na 3.28
4 Na 0.2554 0.8742 0.6151  1 Ge 2.92, 3 As 3.07-3.14
5 As 0.7367 0.6397 0.8868  1 Ge 2.42, 1 As 2.58
6 As 0.5000 0.5000 0.5000  4 Ge 2.58-2.67
7 As 0.2633 0.3603 0.1132  1 Ge 2.42, 1 As 2.58
8 As 0.6155 0.9423 0.8267  2 As 2.52-2.58
9 As 0.3845 0.0577 0.1733  2 As 2.52-2.58
10 Ge 0.4654 0.3024 0.7667  2 As 2.42-2.58
11 Ge 0.5346 0.6976 0.2333  2 As 2.42-2.58
12 Ge 0.0000 0.5000 0.5000  4 As 2.67-2.84


An optimized crystal structure of NaGe6As6. Source: the Alexandria database, functional PBE-GGA.

Calculated values
formation energy: -0.10 eV/atom

Lattice parameters (Å, degrees): 11.1822 11.1822 7.3238 88.51 88.51 20.77
Last column: nearest neighbours and their distance in Å.
Fractional positions:
1 As 0.7768 0.7768 0.1578  3 Ge 2.49-2.52
2 As 0.5709 0.5709 0.7358  3 Ge 2.47-2.51
3 As 0.1177 0.1177 0.2487  3 Ge 2.50-2.52
4 As 0.2232 0.2232 0.8422  3 Ge 2.49-2.52
5 As 0.8823 0.8823 0.7513  3 Ge 2.50-2.52
6 As 0.4291 0.4291 0.2642  3 Ge 2.47-2.51
7 Ge 0.3211 0.3211 0.6624  3 As 2.49-2.52, 1 Ge 2.51
8 Ge 0.6789 0.6789 0.3376  3 As 2.49-2.52, 1 Ge 2.51
9 Ge 0.9453 0.9453 0.4621  1 Ge 2.48, 3 As 2.50-2.51
10 Ge 0.3176 0.3176 0.3204  3 As 2.47-2.52, 1 Ge 2.51
11 Ge 0.6824 0.6824 0.6796  3 As 2.47-2.52, 1 Ge 2.51
12 Ge 0.0547 0.0547 0.5379  1 Ge 2.48, 3 As 2.50-2.51
13 Na 0.0000 0.0000 0.0000  6 As 3.18-3.20


An optimized crystal structure of NaGe3As. Source: the Alexandria database, functional PBE-GGA.

Calculated values
polymorph energy (0 for the lowest one): 0.00 eV per formula unit
formation energy: 0.51 eV/atom

Lattice parameters (Å, degrees): 5.1544 5.1544 5.1544 90.00 90.00 90.00
Last column: nearest neighbours and their distance in Å.
Fractional positions:
1 Na 0.5000 0.5000 0.5000  12 Ge 3.64
2 Ge 0.0000 0.0000 0.5000  2 As 2.58
3 Ge 0.5000 0.0000 0.0000  2 As 2.58
4 Ge 0.0000 0.5000 0.0000  2 As 2.58
5 As 0.0000 0.0000 0.0000  6 Ge 2.58


An optimized crystal structure of NaGe2As2. Source: the Alexandria database, functional PBE-GGA.

Calculated values
formation energy: 0.07 eV/atom

Lattice parameters (Å, degrees): 5.9911 7.4140 7.3730 121.43 115.43 87.36
Last column: nearest neighbours and their distance in Å.
Fractional positions:
1 Na 0.2250 0.7250 0.9500  4 As 3.12-3.14, 4 Ge 3.36-3.37
2 Na 0.7750 0.2750 0.0500  4 As 3.12-3.14, 4 Ge 3.36-3.37
3 As 0.0921 0.2547 0.5000  3 Ge 2.51-2.56
4 As 0.9079 0.7453 0.5000  3 Ge 2.51-2.56
5 As 0.6413 0.6413 0.7827  1 Ge 2.44
6 As 0.3587 0.3587 0.2173  1 Ge 2.44
7 Ge 0.4843 0.8049 0.5000  3 As 2.56-2.75
8 Ge 0.5157 0.1951 0.5000  3 As 2.56-2.75
9 Ge 0.8620 0.8620 0.2240  3 As 2.44-2.51
10 Ge 0.1380 0.1380 0.7760  3 As 2.44-2.51


An optimized crystal structure of NaGeAs. Source: the Alexandria database, functional PBE-GGA.

Calculated values
formation energy: 0.08 eV/atom

Lattice parameters (Å, degrees): 4.2089 4.2089 5.0128 114.82 114.82 90.00
Last column: nearest neighbours and their distance in Å.
Fractional positions:
1 Ge 0.3011 0.3011 0.6023  1 As 2.38
2 Na 0.9533 0.9533 0.9066  1 Ge 2.81, 1 As 2.89
3 As 0.5956 0.5956 0.1911  1 Ge 2.38


An optimized crystal structure of Na2GeAs. Source: the Alexandria database, functional PBE-GGA.

Calculated values
polymorph energy (0 for the lowest one): 0.54 eV per formula unit
formation energy: 0.05 eV/atom

Lattice parameters (Å, degrees): 4.2136 4.2136 10.6580 78.60 78.60 90.00
Last column: nearest neighbours and their distance in Å.
Fractional positions:
1 Ge 0.5000 0.5000 0.0000  4 Na 2.97, 4 As 2.98
2 Ge 0.2500 0.7500 0.5000  4 Na 2.97, 4 As 2.98
3 Na 0.8750 0.8797 0.7500  4 Na 2.95-3.01, 2 As 2.95, 2 Ge 2.97
4 Na 0.1203 0.6250 0.2500  4 Na 2.95-3.01, 2 As 2.95, 2 Ge 2.97
5 Na 0.3750 0.3703 0.7500  4 Na 2.95-3.01, 2 As 2.95, 2 Ge 2.97
6 Na 0.6297 0.1250 0.2500  4 Na 2.95-3.01, 2 As 2.95, 2 Ge 2.97
7 As 0.0000 0.0000 0.0000  4 Na 2.95, 4 Ge 2.98
8 As 0.7500 0.2500 0.5000  4 Na 2.95, 4 Ge 2.98


Electronic total energy (computed, eV/cell): -42.1, -58.2, -17.3, -39.0, -10.4, -23.4